VASP calculation (GGA-PBEsol) on K2Tl after structural relaxation.

Calculated values
Excess energy over the best structure of this formula in the dataset in eV per atom: 0.005
Raw total energy in eV/atom: -1.673

Cell lengths 7.435, 7.435, 9.900 Å; angles 109.89, 109.89, 32.33 degrees
Sites, in units of the cell vectors:
K: 0.026 0.026 0.193
K: 0.326 0.326 0.354
K: 0.674 0.674 0.646
K: 0.974 0.974 0.807
Tl: 0.316 0.316 0.957
Tl: 0.684 0.684 0.043